1.
DFT (PBE) results for an optimized crystal structure of ThPaSn6.

## Properties
* total energy: -5.489 eV/atom
* density of states at the Fermi level: 7.1 states/eV/cell
* magnetization: 0.000 μB per atom
* mass density: 9.40 g cm⁻³

The structure in CIF format:
```
data_ThPaSn6
_chemical_formula_sum 'Th1 Pa1 Sn6'
_symmetry_space_group_name_H-M 'P 4/m m m'
_symmetry_Int_Tables_number 123
_symmetry_space_group_name_Hall '-P 4 2'
_cell_length_a 4.6976
_cell_length_b 4.6976
_cell_length_c 9.4053
_cell_angle_alpha 90.00
_cell_angle_beta 90.00
_cell_angle_gamma 90.00
loop_
_atom_site_label
_atom_site_type_symbol
_atom_site_fract_x
_atom_site_fract_y
_atom_site_fract_z
Th1 Th 0.0000 0.0000 0.0000
Pa1 Pa 0.0000 0.0000 0.5000
Sn1 Sn 0.0000 0.5000 0.2555
Sn2 Sn 0.5000 0.5000 0.0000
Sn3 Sn 0.5000 0.5000 0.5000
```

---

2.
DFT (PBE) results for an optimized crystal structure of ThPaSn2.

## Properties
* relative energy among the computed polymorphs: 0.096 eV/atom
* density of states at the Fermi level: 33.6 states/eV/cell
* magnetization: 0.434 μB per atom
* mass density: 10.48 g cm⁻³

The structure in CIF format:
```
data_ThPaSn2
_chemical_formula_sum 'Th4 Pa4 Sn8'
_symmetry_space_group_name_H-M 'F m -3 m'
_symmetry_Int_Tables_number 225
_symmetry_space_group_name_Hall '-F 4 2 3'
_cell_length_a 7.6295
_cell_length_b 7.6295
_cell_length_c 7.6295
_cell_angle_alpha 90.00
_cell_angle_beta 90.00
_cell_angle_gamma 90.00
loop_
_atom_site_label
_atom_site_type_symbol
_atom_site_fract_x
_atom_site_fract_y
_atom_site_fract_z
Th1 Th 0.0000 0.0000 0.0000
Pa1 Pa 0.0000 0.0000 0.5000
Sn1 Sn 0.2500 0.2500 0.2500
```

---

3.
DFT (PBE) results for an optimized crystal structure of ThPaSn.

## Properties
* relative energy among the computed polymorphs: 0.149 eV/atom
* density of states at the Fermi level: 6.4 states/eV/cell
* magnetization: 0.437 μB per atom
* mass density: 11.55 g cm⁻³

The structure in CIF format:
```
data_ThPaSn
_chemical_formula_sum 'Th1 Pa1 Sn1'
_symmetry_space_group_name_H-M 'P 3 m 1'
_symmetry_Int_Tables_number 156
_cell_length_a 5.3920
_cell_length_b 5.3920
_cell_length_c 3.3223
_cell_angle_alpha 90.00
_cell_angle_beta 90.00
_cell_angle_gamma 120.00
loop_
_symmetry_equiv_pos_as_xyz
'x,y,z'
'-y,x-y,z'
'-x+y,-x,z'
'-y,-x,z'
'-x+y,y,z'
'x,x-y,z'
loop_
_atom_site_label
_atom_site_type_symbol
_atom_site_fract_x
_atom_site_fract_y
_atom_site_fract_z
Th1 Th 0.0000 0.0000 0.0000
Pa1 Pa 0.3333 0.6667 0.4384
Sn1 Sn 0.6667 0.3333 0.6926
```

---

4.
DFT (PBE) results for an optimized crystal structure of ThPaSn2.

## Properties
* relative energy among the computed polymorphs: 0.007 eV/atom
* density of states at the Fermi level: 5.8 states/eV/cell
* magnetization: 0.237 μB per atom
* mass density: 10.67 g cm⁻³

The structure in CIF format:
```
data_ThPaSn2
_chemical_formula_sum 'Th1 Pa1 Sn2'
_symmetry_space_group_name_H-M 'P 4/m m m'
_symmetry_Int_Tables_number 123
_symmetry_space_group_name_Hall '-P 4 2'
_cell_length_a 4.9613
_cell_length_b 4.9613
_cell_length_c 4.4290
_cell_angle_alpha 90.00
_cell_angle_beta 90.00
_cell_angle_gamma 90.00
loop_
_atom_site_label
_atom_site_type_symbol
_atom_site_fract_x
_atom_site_fract_y
_atom_site_fract_z
Th1 Th 0.0000 0.0000 0.0000
Pa1 Pa 0.5000 0.5000 0.0000
Sn1 Sn 0.0000 0.5000 0.5000
```

---

5.
DFT (PBE) results for an optimized crystal structure of ThPaSn2.

## Properties
* relative energy among the computed polymorphs: 0.000 eV/atom
* density of states at the Fermi level: 6.3 states/eV/cell
* magnetization: 0.206 μB per atom
* mass density: 10.72 g cm⁻³

The structure in CIF format:
```
data_ThPaSn2
_chemical_formula_sum 'Th1 Pa1 Sn2'
_symmetry_space_group_name_H-M 'P 4/m m m'
_symmetry_Int_Tables_number 123
_symmetry_space_group_name_Hall '-P 4 2'
_cell_length_a 3.4912
_cell_length_b 3.4912
_cell_length_c 8.9005
_cell_angle_alpha 90.00
_cell_angle_beta 90.00
_cell_angle_gamma 90.00
loop_
_atom_site_label
_atom_site_type_symbol
_atom_site_fract_x
_atom_site_fract_y
_atom_site_fract_z
Th1 Th 0.0000 0.0000 0.0000
Pa1 Pa 0.0000 0.0000 0.5000
Sn1 Sn 0.5000 0.5000 0.2568
```

---

6.
DFT (PBE) results for an optimized crystal structure of ThPa2Sn9.

## Properties
* total energy: -5.555 eV/atom
* density of states at the Fermi level: 10.2 states/eV/cell
* magnetization: 0.000 μB per atom
* mass density: 9.51 g cm⁻³

The structure in CIF format:
```
data_ThPa2Sn9
_chemical_formula_sum 'Th1 Pa2 Sn9'
_symmetry_space_group_name_H-M 'P 4/m m m'
_symmetry_Int_Tables_number 123
_symmetry_space_group_name_Hall '-P 4 2'
_cell_length_a 4.6780
_cell_length_b 4.6780
_cell_length_c 14.0605
_cell_angle_alpha 90.00
_cell_angle_beta 90.00
_cell_angle_gamma 90.00
loop_
_atom_site_label
_atom_site_type_symbol
_atom_site_fract_x
_atom_site_fract_y
_atom_site_fract_z
Th1 Th 0.0000 0.0000 0.0000
Pa1 Pa 0.0000 0.0000 0.3370
Sn1 Sn 0.0000 0.5000 0.1723
Sn2 Sn 0.0000 0.5000 0.5000
Sn3 Sn 0.5000 0.5000 0.0000
Sn4 Sn 0.5000 0.5000 0.3359
```

---

7.
DFT (PBE) results for an optimized crystal structure of ThPaSn.

## Properties
* relative energy among the computed polymorphs: 0.503 eV/atom
* density of states at the Fermi level: 11.7 states/eV/cell
* magnetization: 0.065 μB per atom
* mass density: 10.50 g cm⁻³

The structure in CIF format:
```
data_ThPaSn
_chemical_formula_sum 'Th2 Pa2 Sn2'
_symmetry_space_group_name_H-M 'I 4 m m'
_symmetry_Int_Tables_number 107
_symmetry_space_group_name_Hall 'I 4 -2'
_cell_length_a 3.1876
_cell_length_b 3.1876
_cell_length_c 18.1053
_cell_angle_alpha 90.00
_cell_angle_beta 90.00
_cell_angle_gamma 90.00
loop_
_atom_site_label
_atom_site_type_symbol
_atom_site_fract_x
_atom_site_fract_y
_atom_site_fract_z
Th1 Th 0.0000 0.0000 0.0000
Pa1 Pa 0.0000 0.0000 0.3587
Sn1 Sn 0.0000 0.0000 0.1825
```

---

8.
DFT (PBE) results for an optimized crystal structure of ThPaSn.

## Properties
* relative energy among the computed polymorphs: 0.000 eV/atom
* density of states at the Fermi level: 12.3 states/eV/cell
* magnetization: 0.171 μB per atom
* mass density: 11.36 g cm⁻³

The structure in CIF format:
```
data_ThPaSn
_chemical_formula_sum 'Th2 Pa2 Sn2'
_symmetry_space_group_name_H-M 'I 4 m m'
_symmetry_Int_Tables_number 107
_symmetry_space_group_name_Hall 'I 4 -2'
_cell_length_a 4.1539
_cell_length_b 4.1539
_cell_length_c 9.8595
_cell_angle_alpha 90.00
_cell_angle_beta 90.00
_cell_angle_gamma 90.00
loop_
_atom_site_label
_atom_site_type_symbol
_atom_site_fract_x
_atom_site_fract_y
_atom_site_fract_z
Th1 Th 0.0000 0.0000 0.0000
Pa1 Pa 0.0000 0.0000 0.7033
Sn1 Sn 0.0000 0.0000 0.3487
```

---

Repeat the fifth record exactly.
DFT (PBE) results for an optimized crystal structure of ThPaSn2.

## Properties
* relative energy among the computed polymorphs: 0.000 eV/atom
* density of states at the Fermi level: 6.3 states/eV/cell
* magnetization: 0.206 μB per atom
* mass density: 10.72 g cm⁻³

The structure in CIF format:
```
data_ThPaSn2
_chemical_formula_sum 'Th1 Pa1 Sn2'
_symmetry_space_group_name_H-M 'P 4/m m m'
_symmetry_Int_Tables_number 123
_symmetry_space_group_name_Hall '-P 4 2'
_cell_length_a 3.4912
_cell_length_b 3.4912
_cell_length_c 8.9005
_cell_angle_alpha 90.00
_cell_angle_beta 90.00
_cell_angle_gamma 90.00
loop_
_atom_site_label
_atom_site_type_symbol
_atom_site_fract_x
_atom_site_fract_y
_atom_site_fract_z
Th1 Th 0.0000 0.0000 0.0000
Pa1 Pa 0.0000 0.0000 0.5000
Sn1 Sn 0.5000 0.5000 0.2568
```

---

> Which of these has the lowest density of states at the Fermi level?

number 4

---

> Which value of magnetization does entry 4 give?

0.237 μB per atom

---

What did the fifth record say?
DFT (PBE) results for an optimized crystal structure of ThPaSn2.

## Properties
* relative energy among the computed polymorphs: 0.000 eV/atom
* density of states at the Fermi level: 6.3 states/eV/cell
* magnetization: 0.206 μB per atom
* mass density: 10.72 g cm⁻³

The structure in CIF format:
```
data_ThPaSn2
_chemical_formula_sum 'Th1 Pa1 Sn2'
_symmetry_space_group_name_H-M 'P 4/m m m'
_symmetry_Int_Tables_number 123
_symmetry_space_group_name_Hall '-P 4 2'
_cell_length_a 3.4912
_cell_length_b 3.4912
_cell_length_c 8.9005
_cell_angle_alpha 90.00
_cell_angle_beta 90.00
_cell_angle_gamma 90.00
loop_
_atom_site_label
_atom_site_type_symbol
_atom_site_fract_x
_atom_site_fract_y
_atom_site_fract_z
Th1 Th 0.0000 0.0000 0.0000
Pa1 Pa 0.0000 0.0000 0.5000
Sn1 Sn 0.5000 0.5000 0.2568
```